Here is a relaxed AlCrCu crystal from the Alexandria database. Energies are from GGA-PBE.

Output
For the total energy, the calculation gives -5.9969 eV/atom.

Cell lengths 2.9705, 2.9705, 8.5719 Å; angles 90.00, 90.00, 90.00 degrees
With the nearest neighbours (Å) after each atom.
Sites, in units of the cell vectors:
Al: 0.2500 0.2500 0.2501  4 Cu 2.53, 5 Cr 2.62-2.72
Al: 0.7500 0.7500 0.7499  4 Cu 2.53, 5 Cr 2.62-2.72
Cr: 0.2500 0.2500 0.5676  4 Cr 2.40, 4 Al 2.62
Cr: 0.7500 0.7500 0.4324  4 Cr 2.40, 4 Al 2.62
Cu: 0.2500 0.2500 0.9143  4 Al 2.53, 4 Cu 2.56
Cu: 0.7500 0.7500 0.0857  4 Al 2.53, 4 Cu 2.56